Entry 1:
The following is a DFT calculation (GGA-PBE) of a relaxed AcPmBeSi crystal.

Calculated values
Spin magnetization = 0.0 μB per formula unit
D(E_F) = 0.542 states/eV/atom
ΔE_f (raw) = -0.055 eV per atom
Final energy = -4.5574 eV per atom

Cell: 7.369 7.369 7.369 Å, 90.00 90.00 90.00°
Space group F-43m (No. 216)
Symmetry-distinct sites (fractional):
Ac 0.000 0.000 0.000 (multiplicity 4)
Pm 0.000 0.000 0.500 (multiplicity 4)
Be 0.250 0.250 0.750 (multiplicity 4)
Si 0.250 0.250 0.250 (multiplicity 4)



Entry 2:
The following is a DFT calculation (GGA-PBE) of a relaxed KPaGe2 crystal.

Calculated values
Energy of formation from the pure elements = -60 kJ/mol of formula units
Spin magnetization = 0.0 μB per formula unit
D(E_F) = 0.771 states/eV/atom
Final energy = -5.1116 eV per atom

Cell: 3.299 3.299 9.118 Å, 90.00 90.00 90.00°
Space group P4/mmm (No. 123)
Symmetry-distinct sites (fractional):
K 0.000 0.000 0.000 (multiplicity 1)
Pa 0.000 0.000 0.500 (multiplicity 1)
Ge 0.500 0.500 0.281 (multiplicity 2)



Entry 3:
The following is a DFT calculation (GGA-PBE) of a relaxed Rb2MnHgI6 crystal.

Calculated values
Spin magnetization = 5.0 μB per formula unit
ΔE_f (raw) = -0.778 eV per atom
Excess energy over the best structure of this formula in the dataset = 0 meV/atom
Final energy = -2.8492 eV per atom

Cell: 7.819 8.867 14.392 Å, 90.00 121.49 90.00°
Space group P2_1/c (No. 14)
Symmetry-distinct sites (fractional):
Rb 0.204 0.103 0.241 (multiplicity 4)
Mn 0.500 0.000 0.000 (multiplicity 2)
Hg 0.000 0.000 0.500 (multiplicity 2)
I 0.173 0.174 0.962 (multiplicity 4)
I 0.263 0.665 0.966 (multiplicity 4)
I 0.343 0.517 0.274 (multiplicity 4)



Entry 4:
The following is a DFT calculation (GGA-PBE) of a relaxed TaSb2P crystal.

Calculated values
Spin magnetization = 0.0 μB per formula unit
D(E_F) = 0.587 states/eV/atom
ΔE_f (raw) = -0.037 eV per atom
Final energy = -6.4142 eV per atom

Cell: 8.504 3.482 6.379 Å, 90.00 96.70 90.00°
Space group Cm (No. 8)
Symmetry-distinct sites (fractional):
Ta 0.000 0.000 0.000 (multiplicity 2)
Sb 0.217 0.500 0.286 (multiplicity 2)
Sb 0.491 0.000 0.642 (multiplicity 2)
P 0.290 0.000 0.951 (multiplicity 2)



Entry 5:
The following is a DFT calculation (GGA-PBE) of a relaxed Ca3Er2PaP6 crystal.

Calculated values
Energy of formation from the pure elements = -1503 kJ/mol of formula units
Spin magnetization = 0.0 μB per formula unit
D(E_F) = 0.768 states/eV/atom
Final energy = -6.0553 eV per atom

Cell: 7.016 12.165 7.050 Å, 90.00 109.40 90.00°
Space group C2/m (No. 12)
Symmetry-distinct sites (fractional):
Ca 0.000 0.000 0.000 (multiplicity 2)
Ca 0.000 0.331 0.000 (multiplicity 4)
Er 0.000 0.167 0.500 (multiplicity 4)
Pa 0.000 0.500 0.500 (multiplicity 2)
P 0.241 0.336 0.731 (multiplicity 8)
P 0.250 0.000 0.731 (multiplicity 4)



Entry 6:
The following is a DFT calculation (GGA-PBE) of a relaxed Li2GdY crystal.

Calculated values
Energy of formation from the pure elements = 48 kJ/mol of formula units
Spin magnetization = 7.8 μB per formula unit
D(E_F) = 1.173 states/eV/atom
Excess energy over the best structure of this formula in the dataset = 0 meV/atom
Final energy = -5.9676 eV per atom

Cell: 5.263 5.263 3.730 Å, 90.00 90.00 90.00°
Space group P4/mmm (No. 123)
Symmetry-distinct sites (fractional):
Li 0.000 0.500 0.000 (multiplicity 2)
Gd 0.000 0.000 0.500 (multiplicity 1)
Y 0.500 0.500 0.500 (multiplicity 1)



Among the records above, which one has the highest spin magnetization?
Li2GdY